# 1
Computed, not measured: an optimized crystal structure of Nb3IrI at the PBE level of DFT.

Structure (POSCAR):
```
Nb3IrI
1.0
4.9519 0.0000 0.0000
0.0000 4.9519 0.0000
0.0000 0.0000 4.9519
Nb Ir I
3 1 1
direct
0.0000 0.0000 0.5000
0.0000 0.5000 0.0000
0.5000 0.0000 0.0000
0.0000 0.0000 0.0000
0.5000 0.5000 0.5000
```

Formation energy (no corrections) = 1003 meV per atom
Symmetry = Pm-3m
Calculated density = 8.18 g/cm3
E_tot = -7.121 eV/atom

---

# 2
Computed, not measured: an optimized crystal structure of La3Ga6Au5 at the PBE level of DFT.

Structure (POSCAR):
```
La3Ga6Au5
1.0
4.6091 0.0000 0.0000
0.0000 13.6685 0.0000
0.0000 0.0000 9.3940
La Ga Au
6 12 10
direct
0.2500 0.0497 0.2479
0.2500 0.4503 0.2479
0.2500 0.7500 0.2555
0.7500 0.2500 0.7445
0.7500 0.5497 0.7521
0.7500 0.9503 0.7521
0.2500 0.0882 0.8912
0.2500 0.2500 0.0583
0.2500 0.2500 0.4444
0.2500 0.4118 0.8912
0.2500 0.5980 0.5280
0.2500 0.9020 0.5280
0.7500 0.0980 0.4720
0.7500 0.4020 0.4720
0.7500 0.5882 0.1088
0.7500 0.7500 0.5556
0.7500 0.7500 0.9417
0.7500 0.9118 0.1088
0.2500 0.0961 0.6153
0.2500 0.4039 0.6153
0.2500 0.6156 0.9758
0.2500 0.7500 0.7215
0.2500 0.8844 0.9758
0.7500 0.1156 0.0242
0.7500 0.2500 0.2785
0.7500 0.3844 0.0242
0.7500 0.5961 0.3847
0.7500 0.9039 0.3847
```

Symmetry = Pmmn
Calculated density = 10.21 g/cm3
E_tot = -4.182 eV/atom

---

# 3
Computed, not measured: an optimized crystal structure of Fe3Ni5Te12 at the PBE level of DFT.

Structure (POSCAR):
```
Fe3Ni5Te12
1.0
-7.7402 7.7402 7.7402
7.7402 -7.7402 7.7402
7.7402 7.7402 -7.7402
Fe Ni Te
12 20 48
direct
0.1250 0.2500 0.3750
0.1250 0.3750 0.7500
0.2500 0.3750 0.1250
0.2500 0.8750 0.6250
0.3750 0.1250 0.2500
0.3750 0.7500 0.1250
0.6250 0.2500 0.8750
0.6250 0.8750 0.7500
0.7500 0.1250 0.3750
0.7500 0.6250 0.8750
0.8750 0.6250 0.2500
0.8750 0.7500 0.6250
0.0000 0.0000 0.0000
0.0000 0.0000 0.5000
0.0000 0.5000 0.0000
0.0000 0.5000 0.5000
0.1250 0.7500 0.8750
0.1250 0.8750 0.2500
0.2500 0.1250 0.8750
0.2500 0.6250 0.3750
0.3750 0.2500 0.6250
0.3750 0.6250 0.7500
0.5000 0.0000 0.0000
0.5000 0.0000 0.5000
0.5000 0.5000 0.0000
0.5000 0.5000 0.5000
0.6250 0.3750 0.2500
0.6250 0.7500 0.3750
0.7500 0.3750 0.6250
0.7500 0.8750 0.1250
0.8750 0.1250 0.7500
0.8750 0.2500 0.1250
0.0438 0.2215 0.1203
0.0438 0.3223 0.9234
0.0766 0.6203 0.3989
0.0766 0.9562 0.6777
0.1011 0.7215 0.6777
0.1011 0.8797 0.4234
0.1203 0.0438 0.2215
0.1203 0.5766 0.8989
0.1777 0.2215 0.6011
0.1777 0.4562 0.5766
0.2215 0.1203 0.0438
0.2215 0.6011 0.1777
0.2785 0.3223 0.8989
0.2785 0.4562 0.3797
0.3223 0.8989 0.2785
0.3223 0.9234 0.0438
0.3797 0.2785 0.4562
0.3797 0.6011 0.9234
0.3989 0.0766 0.6203
0.3989 0.8223 0.7785
0.4234 0.1011 0.8797
0.4234 0.8223 0.5438
0.4562 0.3797 0.2785
0.4562 0.5766 0.1777
0.5438 0.4234 0.8223
0.5438 0.6203 0.7215
0.5766 0.1777 0.4562
0.5766 0.8989 0.1203
0.6011 0.1777 0.2215
0.6011 0.9234 0.3797
0.6203 0.3989 0.0766
0.6203 0.7215 0.5438
0.6777 0.0766 0.9562
0.6777 0.1011 0.7215
0.7215 0.5438 0.6203
0.7215 0.6777 0.1011
0.7785 0.3989 0.8223
0.7785 0.8797 0.9562
0.8223 0.5438 0.4234
0.8223 0.7785 0.3989
0.8797 0.4234 0.1011
0.8797 0.9562 0.7785
0.8989 0.1203 0.5766
0.8989 0.2785 0.3223
0.9234 0.0438 0.3223
0.9234 0.3797 0.6011
0.9562 0.6777 0.0766
0.9562 0.7785 0.8797
```

Formation energy (no corrections) = 85 meV per atom
Symmetry = Ia-3d
Calculated density = 7.13 g/cm3
E_tot = -4.515 eV/atom

---

# 4
Computed, not measured: an optimized crystal structure of Zr2TaHIr at the PBE level of DFT.

Structure (POSCAR):
```
Zr2TaHIr
1.0
4.6223 0.0000 0.0000
0.0000 4.6223 0.0000
0.0000 0.0000 3.6727
Zr Ta H Ir
2 1 1 1
direct
0.0000 0.5000 0.0000
0.5000 0.0000 0.0000
0.0000 0.0000 0.5000
0.0000 0.0000 0.0000
0.5000 0.5000 0.5000
```

Symmetry = P4/mmm
Calculated density = 11.78 g/cm3
E_tot = -8.564 eV/atom

---

# 5
Computed, not measured: an optimized crystal structure of Re2SbPb at the PBE level of DFT.

Structure (POSCAR):
```
Re2SbPb
1.0
4.4566 -1.5759 0.0000
4.4566 1.5759 0.0000
-1.5965 0.0000 5.7169
Re Sb Pb
2 1 1
direct
0.2480 0.2480 0.3095
0.7520 0.7520 0.6905
0.0000 0.0000 0.5000
0.5000 0.5000 0.0000
```

Formation energy (no corrections) = 916 meV per atom
Symmetry = C2/m
Calculated density = 14.50 g/cm3
E_tot = -7.266 eV/atom

---

# 6
Computed, not measured: an optimized crystal structure of Tm2TaGa2Rh5 at the PBE level of DFT.

Structure (POSCAR):
```
Tm2TaGa2Rh5
1.0
9.7852 0.0000 0.0000
0.0000 9.7852 0.0000
0.0000 0.0000 3.5341
Tm Ta Ga Rh
4 2 4 10
direct
0.1721 0.3279 0.0000
0.3279 0.8279 0.0000
0.6721 0.1721 0.0000
0.8279 0.6721 0.0000
0.0000 0.0000 0.0000
0.5000 0.5000 0.0000
0.1259 0.6259 0.0000
0.3741 0.1259 0.0000
0.6259 0.8741 0.0000
0.8741 0.3741 0.0000
0.0000 0.5000 0.5000
0.0664 0.7988 0.5000
0.2012 0.0664 0.5000
0.2988 0.5664 0.5000
0.4336 0.2988 0.5000
0.5000 0.0000 0.5000
0.5664 0.7012 0.5000
0.7012 0.4336 0.5000
0.7988 0.9336 0.5000
0.9336 0.2012 0.5000
```

Symmetry = P4/mbm
Calculated density = 11.51 g/cm3
E_tot = -7.162 eV/atom

---

# 7
Computed, not measured: an optimized crystal structure of TiZnTe at the PBE level of DFT.

Structure (POSCAR):
```
TiZnTe
1.0
5.4656 -1.8314 0.0000
5.4656 1.8314 0.0000
-1.9995 0.0000 6.4488
Ti Zn Te
2 2 2
direct
0.1237 0.1237 0.4539
0.8763 0.8763 0.5461
0.4209 0.4209 0.2708
0.5791 0.5791 0.7292
0.3318 0.3318 0.8184
0.6682 0.6682 0.1816
```

Formation energy (no corrections) = -278 meV per atom
Symmetry = C2/m
Calculated density = 6.20 g/cm3
E_tot = -4.382 eV/atom

---

# 8
Computed, not measured: an optimized crystal structure of KEu2Cd at the PBE level of DFT.

Structure (POSCAR):
```
KEu2Cd
1.0
1.9915 1.1498 12.9466
-1.9915 1.1498 12.9466
0.0000 -2.2995 12.9466
K Eu Cd
1 2 1
direct
0.0000 0.0000 0.0000
0.1036 0.1036 0.1036
0.8964 0.8964 0.8964
0.5000 0.5000 0.5000
```

Symmetry = R-3m
Calculated density = 4.25 g/cm3
E_tot = -5.605 eV/atom

---

# 9
Computed, not measured: an optimized crystal structure of Li2LaAl2 at the PBE level of DFT.

Structure (POSCAR):
```
Li2LaAl2
1.0
8.3825 0.0000 0.0000
0.0000 8.3825 0.0000
0.0000 0.0000 2.9269
Li La Al
4 2 4
direct
0.1171 0.3829 0.0000
0.3829 0.8829 0.0000
0.6171 0.1171 0.0000
0.8829 0.6171 0.0000
0.0000 0.0000 0.0000
0.5000 0.5000 0.0000
0.1768 0.6768 0.5000
0.3232 0.1768 0.5000
0.6768 0.8232 0.5000
0.8232 0.3232 0.5000
```

Symmetry = P4/mbm
Calculated density = 3.34 g/cm3
E_tot = -3.404 eV/atom

---

# 10
Computed, not measured: an optimized crystal structure of BePtO at the PBE level of DFT.

Structure (POSCAR):
```
BePtO
1.0
2.6460 0.0000 0.0000
-1.3230 2.2915 0.0000
0.0000 0.0000 15.2925
Be Pt O
2 2 2
direct
0.3333 0.6667 0.2500
0.6667 0.3333 0.7500
0.0000 0.0000 0.0000
0.0000 0.0000 0.5000
0.0000 0.0000 0.2500
0.0000 0.0000 0.7500
```

Formation energy (no corrections) = -1482 meV per atom
Symmetry = P6_3/mmc
Calculated density = 7.88 g/cm3
E_tot = -6.390 eV/atom

---

# 11
Computed, not measured: an optimized crystal structure of Ba8AgHg2Pt at the PBE level of DFT.

Structure (POSCAR):
```
Ba8AgHg2Pt
1.0
7.8176 0.0000 0.0000
0.0000 9.6669 0.0000
-0.0938 0.0000 8.1891
Ba Ag Hg Pt
8 1 2 1
direct
0.2331 0.2355 0.1582
0.2331 0.7645 0.1582
0.2343 0.0000 0.6868
0.2533 0.5000 0.6676
0.7467 0.5000 0.3324
0.7657 0.0000 0.3132
0.7669 0.2355 0.8418
0.7669 0.7645 0.8418
0.0000 0.5000 0.0000
0.5000 0.2395 0.5000
0.5000 0.7605 0.5000
0.0000 0.0000 0.0000
```

Symmetry = P2/m
Calculated density = 4.84 g/cm3
E_tot = -2.418 eV/atom

---

# 12
Computed, not measured: an optimized crystal structure of TbNd9Th2 at the PBE level of DFT.

Structure (POSCAR):
```
TbNd9Th2
1.0
5.1571 0.0000 0.0000
0.0000 5.1571 0.0000
0.0000 0.0000 15.4995
Tb Nd Th
1 9 2
direct
0.0000 0.0000 0.0000
0.0000 0.5000 0.1685
0.0000 0.5000 0.5000
0.0000 0.5000 0.8315
0.5000 0.0000 0.1685
0.5000 0.0000 0.5000
0.5000 0.0000 0.8315
0.5000 0.5000 0.0000
0.5000 0.5000 0.3330
0.5000 0.5000 0.6670
0.0000 0.0000 0.3333
0.0000 0.0000 0.6667
```

Symmetry = P4/mmm
Calculated density = 7.74 g/cm3
E_tot = -5.153 eV/atom

---

# 13
Computed, not measured: an optimized crystal structure of PmNdSm2Th at the PBE level of DFT.

Structure (POSCAR):
```
PmNdSm2Th
1.0
6.3435 0.0000 0.0000
0.0000 5.9030 0.0000
-3.1497 0.0000 9.1692
Pm Nd Sm Th
2 2 4 2
direct
0.1731 0.2500 0.0108
0.8269 0.7500 0.9892
0.2296 0.7500 0.8002
0.7704 0.2500 0.1998
0.0499 0.7500 0.4032
0.4369 0.7500 0.2101
0.5631 0.2500 0.7899
0.9501 0.2500 0.5968
0.3772 0.2500 0.4036
0.6228 0.7500 0.5964
```

Symmetry = P2_1/m
Calculated density = 7.95 g/cm3
E_tot = -5.222 eV/atom

---

# 14
Computed, not measured: an optimized crystal structure of Zn5Fe3 at the PBE level of DFT.

Structure (POSCAR):
```
Zn5Fe3
1.0
7.3564 0.0000 0.0000
-3.6782 6.3709 0.0000
0.0000 0.0000 4.7060
Zn Fe
10 6
direct
0.0000 0.2261 0.2500
0.0000 0.7739 0.7500
0.2261 0.0000 0.2500
0.2261 0.2261 0.7500
0.3333 0.6667 0.0000
0.3333 0.6667 0.5000
0.6667 0.3333 0.0000
0.6667 0.3333 0.5000
0.7739 0.0000 0.7500
0.7739 0.7739 0.2500
0.0000 0.4118 0.7500
0.0000 0.5882 0.2500
0.4118 0.0000 0.7500
0.4118 0.4118 0.2500
0.5882 0.0000 0.2500
0.5882 0.5882 0.7500
```

Symmetry = P6_3/mcm
Calculated density = 7.45 g/cm3
E_tot = -3.778 eV/atom

---

# 15
Computed, not measured: an optimized crystal structure of CuAgP at the PBE level of DFT.

Structure (POSCAR):
```
CuAgP
1.0
2.8904 0.0000 0.0000
-1.4452 2.5031 0.0000
0.0000 0.0000 6.2628
Cu Ag P
1 1 1
direct
0.0000 0.0000 0.0000
0.6667 0.3333 0.6503
0.3333 0.6667 0.2746
```

Symmetry = P3m1
Calculated density = 7.42 g/cm3
E_tot = -3.905 eV/atom

---

# 16
Computed, not measured: an optimized crystal structure of ZrTiPt at the PBE level of DFT.

Structure (POSCAR):
```
ZrTiPt
1.0
4.2770 0.0000 0.0000
-2.1385 3.7040 0.0000
0.0000 0.0000 3.7195
Zr Ti Pt
1 1 1
direct
0.0000 0.0000 0.0000
0.3333 0.6667 0.4848
0.6667 0.3333 0.5457
```

Symmetry = P3m1
Calculated density = 9.42 g/cm3
E_tot = -7.959 eV/atom

---

# 17
Computed, not measured: an optimized crystal structure of OsPtSe2 at the PBE level of DFT.

Structure (POSCAR):
```
OsPtSe2
1.0
-1.4530 2.3216 5.7787
1.4530 -2.3216 5.7787
1.4530 2.3216 -5.7787
Os Pt Se
1 1 2
direct
0.0000 0.0000 0.0000
0.5000 0.5000 0.0000
0.1748 0.6748 0.5000
0.8252 0.3252 0.5000
```

Formation energy (no corrections) = 349 meV per atom
Symmetry = Immm
Calculated density = 11.57 g/cm3
E_tot = -5.711 eV/atom

---

# 18
Computed, not measured: an optimized crystal structure of CeNp2UN4 at the PBE level of DFT.

Structure (POSCAR):
```
CeNp2UN4
1.0
6.0048 0.0000 0.0000
0.0000 3.4667 0.0000
-2.0040 0.0000 5.6900
Ce Np U N
1 2 1 4
direct
0.0000 0.0000 0.0000
0.5000 0.0000 0.5000
0.5000 0.5000 0.0000
0.0000 0.5000 0.5000
0.2492 0.0000 0.7364
0.2600 0.5000 0.2687
0.7400 0.5000 0.7313
0.7508 0.0000 0.2636
```

Formation energy (no corrections) = -1258 meV per atom
Symmetry = P2/m
Calculated density = 12.73 g/cm3
E_tot = -10.809 eV/atom